Compound: RbHfB
Source: Alexandria via LeMat-Bulk
Functional: PBE
Structure: relaxed

Results
Excess energy over the best structure of this formula in the dataset: 0.366 eV per formula unit

Cell: 12.5280 4.5201 3.5681 Å, 113.33 84.34 91.96°
Last column: nearest neighbours and their distance in Å.
Atoms (fractional coordinates):
Hf 0.4262 0.7174 0.3842  5 B 2.36-2.58
Hf 0.5738 0.2826 0.6158  5 B 2.36-2.58
B 0.5427 0.8458 0.9082  1 B 1.66
B 0.4573 0.1542 0.0918  1 B 1.66
Rb 0.8187 0.7565 0.2702  2 Rb 3.57, 1 Hf 3.74, 2 B 3.89-3.90
Rb 0.1813 0.2435 0.7298  2 Rb 3.57, 1 Hf 3.74, 2 B 3.89-3.90

***

Compound: Cs3Tm2NpS6
Source: Alexandria via LeMat-Bulk
Functional: PBE
Structure: relaxed

Results
Uncorrected formation energy: -1.648 eV per atom

Cell: 7.0977 7.0977 8.3902 Å, 98.09 98.09 119.93°
Last column: nearest neighbours and their distance in Å.
Atoms (fractional coordinates):
Cs 0.1669 0.8331 0.5000  6 S 3.47-3.52
Cs 0.8331 0.1669 0.5000  6 S 3.47-3.52
Cs 0.5000 0.5000 0.5000  6 S 3.46-3.51
Tm 0.6660 0.3340 0.0000  6 S 2.75-2.76
Tm 0.3340 0.6660 0.0000  6 S 2.75-2.76
S 0.4002 0.0605 0.1801  2 Tm 2.75-2.76, 1 Np 2.82
S 0.7202 0.7202 0.1804  2 Tm 2.75, 1 Np 2.82
S 0.5998 0.9395 0.8199  2 Tm 2.75-2.76, 1 Np 2.82
S 0.0605 0.4002 0.1801  2 Tm 2.75-2.76, 1 Np 2.82
S 0.9395 0.5998 0.8199  2 Tm 2.75-2.76, 1 Np 2.82
S 0.2798 0.2798 0.8196  2 Tm 2.75, 1 Np 2.82
Np 0.0000 0.0000 0.0000  6 S 2.82

***

Compound: Mo2AsOs
Source: Alexandria via LeMat-Bulk
Functional: PBE
Structure: relaxed

Results
Total DFT energy (no corrections): -9.104 eV/atom

Cell: 8.9192 8.9192 8.9192 Å, 18.49 18.49 18.49°
Last column: nearest neighbours and their distance in Å.
Atoms (fractional coordinates):
As 0.7504 0.7504 0.7504  3 Mo 2.71, 3 Os 2.74, 6 As 2.87
Os 0.5000 0.5000 0.5000  3 Mo 2.68, 3 As 2.74, 6 Os 2.87
Mo 0.0024 0.0024 0.0024  3 As 2.71, 9 Mo 2.86-2.87
Mo 0.2471 0.2471 0.2471  3 Os 2.68, 9 Mo 2.86-2.87

***

Compound: AlGaBi
Source: Alexandria via LeMat-Bulk
Functional: PBE
Structure: relaxed

Results
Excess energy over the best structure of this formula in the dataset: 0.011 eV per formula unit

Cell: 3.1904 3.8605 11.6165 Å, 89.98 98.19 90.00°
Last column: nearest neighbours and their distance in Å.
Atoms (fractional coordinates):
Bi 0.8472 0.3775 0.1845  2 Al 3.00, 2 Bi 3.19
Bi 0.7337 0.8786 0.9441  2 Ga 3.04, 4 Bi 3.19-3.37
Ga 0.6404 0.3786 0.7400  4 Ga 2.81, 1 Al 2.84, 2 Bi 3.04
Ga 0.0810 0.8784 0.6292  4 Ga 2.81, 5 Al 2.81-2.96
Al 0.5056 0.3778 0.4930  4 Al 2.80, 5 Ga 2.84-2.96
Al 0.9492 0.8777 0.3847  4 Al 2.80, 1 Ga 2.81, 2 Bi 3.00

***

Compound: Ac2AlB3Rh12
Source: Alexandria via LeMat-Bulk
Functional: PBE
Structure: relaxed

Results
Total DFT energy (no corrections): -6.880 eV/atom

Cell: 7.1487 7.1487 7.1487 Å, 66.94 66.94 66.94°
Last column: nearest neighbours and their distance in Å.
Atoms (fractional coordinates):
Rh 0.1039 0.7243 0.7243  2 B 2.08
Rh 0.8669 0.8669 0.3929  1 B 2.06
Rh 0.8961 0.2757 0.2757  2 B 2.08
Rh 0.1331 0.1331 0.6071  1 B 2.06
Rh 0.2757 0.8961 0.2757  2 B 2.08
Rh 0.8669 0.3929 0.8669  1 B 2.06
Rh 0.1331 0.6071 0.1331  1 B 2.06
Rh 0.2757 0.2757 0.8961  2 B 2.08
Rh 0.7243 0.7243 0.1039  2 B 2.08
Rh 0.6071 0.1331 0.1331  1 B 2.06
Rh 0.7243 0.1039 0.7243  2 B 2.08
Rh 0.3929 0.8669 0.8669  1 B 2.06
Ac 0.6021 0.6021 0.6021  3 Rh 2.79
Ac 0.3979 0.3979 0.3979  3 Rh 2.79
Al 0.0000 0.0000 0.0000  6 Rh 2.49
B 0.0000 0.0000 0.5000  6 Rh 2.06-2.08
B 0.0000 0.5000 0.0000  6 Rh 2.06-2.08
B 0.5000 0.0000 0.0000  6 Rh 2.06-2.08

***

Number 1: theoretical density 4.94 g/cm³. Number 2: theoretical density 5.51 g/cm³. Number 3: theoretical density 12.18 g/cm³. Number 4: theoretical density 7.17 g/cm³. Number 5: theoretical density 9.78 g/cm³.